No. 1
SrLiGe2 after structural relaxation, computed with PBE-GGA.

Unit cell a=5.090 b=5.090 c=5.090 alpha=60.00 beta=60.00 gamma=60.00
Positions (direct):
Li  0.000  0.000  0.000
Sr  0.500  0.500  0.500
Ge  0.750  0.750  0.750
Ge  0.250  0.250  0.250

Calculated values
As for the symmetry: Fm-3m, No. 225. Its distance to the lowest polymorph of the same formula is 322 meV/atom.


No. 2
CaHoCuSe3 after structural relaxation, computed with PBE-GGA.

Unit cell a=3.994 b=8.235 c=9.014 alpha=102.74 beta=90.00 gamma=90.00
Positions (direct):
Se  0.750  0.425  0.161
Se  0.250  0.765  0.491
Se  0.750  0.910  0.140
Se  0.250  0.090  0.860
Se  0.750  0.235  0.509
Se  0.250  0.575  0.839
Cu  0.750  0.919  0.418
Cu  0.250  0.081  0.582
Ca  0.250  0.188  0.247
Ca  0.750  0.812  0.753
Ho  0.250  0.675  0.171
Ho  0.750  0.325  0.829

Calculated values
For the uncorrected formation energy, the calculation gives -1.50 eV/atom. As for the symmetry: P2_1/m, No. 11.


No. 3
PmEuDyIn after structural relaxation, computed with PBE-GGA.

Unit cell a=5.581 b=5.581 c=5.581 alpha=60.00 beta=60.00 gamma=60.00
Each line ends with the local moment (μB).
Positions (direct):
Dy  0.500  0.500  0.500  -0.17
In  0.250  0.250  0.250  0.02
Pm  0.750  0.750  0.750  -0.26
Eu  0.000  0.000  0.000  -6.87

Calculated values
The value obtained for the total energy is -5.6686 eV/atom. As for the symmetry: F-43m, No. 216.


No. 4
Sc3InHg after structural relaxation, computed with PBE-GGA.

Unit cell a=5.003 b=5.003 c=9.440 alpha=90.00 beta=74.63 gamma=90.00
Each line ends with the local moment (μB).
Positions (direct):
Sc  0.574  0.250  0.500  0.24
Sc  0.768  0.250  0.112  0.40
Sc  0.074  0.750  0.500  0.24
Sc  0.880  0.750  0.888  0.40
Sc  0.270  0.750  0.109  0.40
Sc  0.379  0.250  0.891  0.40
In  0.174  0.250  0.301  0.00
In  0.475  0.750  0.699  0.00
Hg  0.972  0.250  0.704  0.01
Hg  0.676  0.750  0.296  0.01

Calculated values
As for the symmetry: Cmcm, No. 63. Its distance to the lowest polymorph of the same formula is 0 meV/atom.


Number 1: calculated density 4.27 g/cm³. Number 2: calculated density 5.80 g/cm³. Number 3: calculated density 7.76 g/cm³. Number 4: calculated density 6.56 g/cm³.